(1)
U2Fe3Si | PBE-GGA | optimized geometry

abc: 5.1350 5.1350 7.3847
angles: 90.00 90.00 120.00
Closest atoms and distances in Å follow each position.
Positions (direct):
U 0.3333 0.6667 0.0656  1 U 2.72, 9 Fe 2.76-2.91, 3 Si 3.00
U 0.3333 0.6667 0.4344  1 U 2.72, 9 Fe 2.76-2.91, 3 Si 3.00
U 0.6667 0.3333 0.5656  1 U 2.72, 9 Fe 2.76-2.91, 3 Si 3.00
U 0.6667 0.3333 0.9344  1 U 2.72, 9 Fe 2.76-2.91, 3 Si 3.00
Fe 0.1678 0.3357 0.7500  2 Si 2.37, 4 Fe 2.55-2.59
Fe 0.1678 0.8322 0.7500  2 Si 2.37, 4 Fe 2.55-2.59
Fe 0.3357 0.1678 0.2500  2 Si 2.37, 4 Fe 2.55-2.59
Fe 0.6643 0.8322 0.7500  2 Si 2.37, 4 Fe 2.55-2.59
Fe 0.8322 0.1678 0.2500  2 Si 2.37, 4 Fe 2.55-2.59
Fe 0.8322 0.6643 0.2500  2 Si 2.37, 4 Fe 2.55-2.59
Si 0.0000 0.0000 0.0000  6 Fe 2.37
Si 0.0000 0.0000 0.5000  6 Fe 2.37

Summary:
Total DFT energy (no corrections), eV/cell: -110.52

---

(2)
Fe2Si2W3 | PBE-GGA | optimized geometry

abc: 6.5074 6.5074 6.5074
angles: 38.03 38.03 38.03
Closest atoms and distances in Å follow each position.
Positions (direct):
Fe 0.0000 0.0000 0.0000  4 Si 2.43-2.56, 3 W 2.57
Fe 0.4236 0.4236 0.4236  2 W 2.43-2.59, 6 Si 2.57-2.60
Si 0.1344 0.1344 0.1344  4 Fe 2.43-2.57, 3 W 2.60
Si 0.7089 0.7089 0.7089  2 W 2.54-2.57, 6 Fe 2.56-2.60
W 0.2896 0.2896 0.2896  4 Fe 2.43-2.57, 3 W 2.65
W 0.5670 0.5670 0.5670  1 Si 2.57, 1 Fe 2.59, 6 W 2.62-2.65
W 0.8490 0.8490 0.8490  4 Si 2.54-2.60, 3 W 2.62, 1 Fe 2.73

Summary:
Total DFT energy (no corrections), eV/cell: -66.43

---

(3)
ZnFeSiW | PBE-GGA | optimized geometry

abc: 5.9584 5.9584 5.9584
angles: 90.00 90.00 90.00
Closest atoms and distances in Å follow each position.
Positions (direct):
Zn 0.0000 0.0000 0.0000  4 Fe 2.58, 4 W 2.58
Zn 0.0000 0.5000 0.5000  4 W 2.58, 4 Fe 2.58
Zn 0.5000 0.0000 0.5000  4 W 2.58, 4 Fe 2.58
Zn 0.5000 0.5000 0.0000  4 W 2.58, 4 Fe 2.58
Fe 0.2500 0.2500 0.7500  4 Si 2.58, 4 Zn 2.58
Fe 0.2500 0.7500 0.2500  4 Si 2.58, 4 Zn 2.58
Fe 0.7500 0.2500 0.2500  4 Si 2.58, 4 Zn 2.58
Fe 0.7500 0.7500 0.7500  4 Zn 2.58, 4 Si 2.58
Si 0.0000 0.0000 0.5000  4 W 2.58, 4 Fe 2.58
Si 0.0000 0.5000 0.0000  4 W 2.58, 4 Fe 2.58
Si 0.5000 0.0000 0.0000  4 W 2.58, 4 Fe 2.58
Si 0.5000 0.5000 0.5000  4 W 2.58, 4 Fe 2.58
W 0.2500 0.2500 0.2500  4 Si 2.58, 4 Zn 2.58
W 0.2500 0.7500 0.7500  4 Si 2.58, 4 Zn 2.58
W 0.7500 0.2500 0.7500  4 Si 2.58, 4 Zn 2.58
W 0.7500 0.7500 0.2500  4 Si 2.58, 4 Zn 2.58

Summary:
Relative energy among the computed polymorphs, meV per atom: 0

---

(4)
ZnFeSiW | PBE-GGA | optimized geometry

abc: 5.9505 5.9505 5.9505
angles: 90.00 90.00 90.00
Closest atoms and distances in Å follow each position.
Positions (direct):
Zn 0.0000 0.0000 0.0000  4 W 2.58, 4 Si 2.58
Zn 0.0000 0.5000 0.5000  4 W 2.58, 4 Si 2.58
Zn 0.5000 0.0000 0.5000  4 W 2.58, 4 Si 2.58
Zn 0.5000 0.5000 0.0000  4 W 2.58, 4 Si 2.58
Fe 0.0000 0.0000 0.5000  4 W 2.58, 4 Si 2.58
Fe 0.0000 0.5000 0.0000  4 W 2.58, 4 Si 2.58
Fe 0.5000 0.0000 0.0000  4 W 2.58, 4 Si 2.58
Fe 0.5000 0.5000 0.5000  4 Si 2.58, 4 W 2.58
Si 0.2500 0.2500 0.2500  4 Fe 2.58, 4 Zn 2.58
Si 0.2500 0.7500 0.7500  4 Fe 2.58, 4 Zn 2.58
Si 0.7500 0.2500 0.7500  4 Fe 2.58, 4 Zn 2.58
Si 0.7500 0.7500 0.2500  4 Fe 2.58, 4 Zn 2.58
W 0.2500 0.2500 0.7500  4 Fe 2.58, 4 Zn 2.58
W 0.2500 0.7500 0.2500  4 Fe 2.58, 4 Zn 2.58
W 0.7500 0.2500 0.2500  4 Fe 2.58, 4 Zn 2.58
W 0.7500 0.7500 0.7500  4 Fe 2.58, 4 Zn 2.58

Summary:
Relative energy among the computed polymorphs, meV per atom: 123

---

(5)
ZrFeSiW | PBE-GGA | optimized geometry

abc: 6.2196 6.2196 6.2196
angles: 90.00 90.00 90.00
Closest atoms and distances in Å follow each position.
Positions (direct):
Zr 0.0000 0.0000 0.0000  4 Fe 2.69, 4 W 2.69
Zr 0.0000 0.5000 0.5000  4 Fe 2.69, 4 W 2.69
Zr 0.5000 0.0000 0.5000  4 Fe 2.69, 4 W 2.69
Zr 0.5000 0.5000 0.0000  4 Fe 2.69, 4 W 2.69
Fe 0.2500 0.2500 0.7500  4 Zr 2.69, 4 Si 2.69
Fe 0.2500 0.7500 0.2500  4 Zr 2.69, 4 Si 2.69
Fe 0.7500 0.2500 0.2500  4 Zr 2.69, 4 Si 2.69
Fe 0.7500 0.7500 0.7500  4 Zr 2.69, 4 Si 2.69
Si 0.0000 0.0000 0.5000  4 W 2.69, 4 Fe 2.69
Si 0.0000 0.5000 0.0000  4 W 2.69, 4 Fe 2.69
Si 0.5000 0.0000 0.0000  4 W 2.69, 4 Fe 2.69
Si 0.5000 0.5000 0.5000  4 W 2.69, 4 Fe 2.69
W 0.2500 0.2500 0.2500  4 Zr 2.69, 4 Si 2.69
W 0.2500 0.7500 0.7500  4 Zr 2.69, 4 Si 2.69
W 0.7500 0.2500 0.7500  4 Zr 2.69, 4 Si 2.69
W 0.7500 0.7500 0.2500  4 Zr 2.69, 4 Si 2.69

Summary:
Relative energy among the computed polymorphs, meV per atom: 0

---

(6)
Y2Fe3Si5 | PBE-GGA | optimized geometry

abc: 10.3430 10.3430 5.4673
angles: 90.00 90.00 90.00
Closest atoms and distances in Å follow each position.
Positions (direct):
Y 0.0690 0.2364 0.0000  9 Si 2.75-3.03, 2 Fe 3.08
Y 0.2364 0.9310 0.0000  9 Si 2.75-3.03, 2 Fe 3.08
Y 0.2636 0.4310 0.5000  9 Si 2.75-3.03, 2 Fe 3.08
Y 0.4310 0.7364 0.5000  9 Si 2.75-3.03, 2 Fe 3.08
Y 0.5690 0.2636 0.5000  9 Si 2.75-3.03, 2 Fe 3.08
Y 0.7364 0.5690 0.5000  9 Si 2.75-3.03, 2 Fe 3.08
Y 0.7636 0.0690 0.0000  9 Si 2.75-3.03, 2 Fe 3.08
Y 0.9310 0.7636 0.0000  9 Si 2.75-3.03, 2 Fe 3.08
Fe 0.0000 0.5000 0.2500  4 Si 2.32
Fe 0.0000 0.5000 0.7500  4 Si 2.32
Fe 0.1232 0.8554 0.5000  6 Si 2.34-2.40
Fe 0.1446 0.1232 0.5000  6 Si 2.34-2.40
Fe 0.3554 0.6232 0.0000  6 Si 2.34-2.40
Fe 0.3768 0.3554 0.0000  6 Si 2.34-2.40
Fe 0.5000 0.0000 0.2500  4 Si 2.32
Fe 0.5000 0.0000 0.7500  4 Si 2.32
Fe 0.6232 0.6446 0.0000  6 Si 2.34-2.40
Fe 0.6446 0.3768 0.0000  6 Si 2.34-2.40
Fe 0.8554 0.8768 0.5000  6 Si 2.34-2.40
Fe 0.8768 0.1446 0.5000  6 Si 2.34-2.40
Si 0.0000 0.0000 0.2683  4 Fe 2.34, 1 Si 2.53
Si 0.0000 0.0000 0.7317  4 Fe 2.34, 1 Si 2.53
Si 0.0215 0.3201 0.5000  4 Fe 2.32-2.40, 2 Si 2.47
Si 0.1779 0.6779 0.2500  3 Fe 2.36-2.60, 2 Si 2.47
Si 0.1779 0.6779 0.7500  3 Fe 2.36-2.60, 2 Si 2.47
Si 0.1799 0.4785 0.0000  4 Fe 2.32-2.40, 2 Si 2.47
Si 0.3201 0.9785 0.5000  4 Fe 2.32-2.40, 2 Si 2.47
Si 0.3221 0.1779 0.2500  3 Fe 2.36-2.60, 2 Si 2.47
Si 0.3221 0.1779 0.7500  3 Fe 2.36-2.60, 2 Si 2.47
Si 0.4785 0.8201 0.0000  4 Fe 2.32-2.40, 2 Si 2.47
Si 0.5000 0.5000 0.2317  4 Fe 2.34, 1 Si 2.53
Si 0.5000 0.5000 0.7683  4 Fe 2.34, 1 Si 2.53
Si 0.5215 0.1799 0.0000  4 Fe 2.32-2.40, 2 Si 2.47
Si 0.6779 0.8221 0.2500  3 Fe 2.36-2.60, 2 Si 2.47
Si 0.6779 0.8221 0.7500  3 Fe 2.36-2.60, 2 Si 2.47
Si 0.6799 0.0215 0.5000  4 Fe 2.32-2.40, 2 Si 2.47
Si 0.8201 0.5215 0.0000  4 Fe 2.32-2.40, 2 Si 2.47
Si 0.8221 0.3221 0.2500  3 Fe 2.36-2.60, 2 Si 2.47
Si 0.8221 0.3221 0.7500  3 Fe 2.36-2.60, 2 Si 2.47
Si 0.9785 0.6799 0.5000  4 Fe 2.32-2.40, 2 Si 2.47

Summary:
Total DFT energy (no corrections), eV/cell: -287.70